DFT (GGA-PBE) results for a geometry-optimized Tl12CdIn7 structure.

Output
SG: R-3 (148)
DFT formation energy: 2.1 kJ/mol of atoms
D(E_F): 0.38 states/eV/atom
E_tot: -2.4023 eV/atom

Cell: 8.6353 8.6353 8.6353 Å, 102.38 102.38 102.38°
Last column: nearest neighbours and their distance in Å.
Fractional coordinates of all 20 atoms:
Tl (0.0005, 0.2620, 0.7381)  5 In 3.37-3.56, 6 Tl 3.39-3.53
Tl (0.1621, 0.4186, 0.1633)  6 Tl 3.39-3.48, 4 In 3.44-3.61, 1 Cd 3.47
Tl (0.1633, 0.1621, 0.4186)  6 Tl 3.39-3.48, 4 In 3.44-3.61, 1 Cd 3.47
Tl (0.2620, 0.7381, 0.0005)  5 In 3.37-3.56, 6 Tl 3.39-3.53
Tl (0.2619, 0.9995, 0.7380)  5 In 3.37-3.56, 6 Tl 3.39-3.53
Tl (0.4186, 0.1633, 0.1621)  6 Tl 3.39-3.48, 4 In 3.44-3.61, 1 Cd 3.47
Tl (0.5814, 0.8367, 0.8379)  6 Tl 3.39-3.48, 4 In 3.44-3.61, 1 Cd 3.47
Tl (0.7381, 0.0005, 0.2620)  5 In 3.37-3.56, 6 Tl 3.39-3.53
Tl (0.7380, 0.2619, 0.9995)  5 In 3.37-3.56, 6 Tl 3.39-3.53
Tl (0.8367, 0.8379, 0.5814)  6 Tl 3.39-3.48, 4 In 3.44-3.61, 1 Cd 3.47
Tl (0.8379, 0.5814, 0.8367)  6 Tl 3.39-3.48, 4 In 3.44-3.61, 1 Cd 3.47
Tl (0.9995, 0.7380, 0.2619)  5 In 3.37-3.56, 6 Tl 3.39-3.53
Cd (0.5000, 0.5000, 0.5000)  6 In 3.20, 6 Tl 3.47
In (0.0000, 0.0000, 0.0000)  12 Tl 3.44-3.53
In (0.1825, 0.5878, 0.5888)  3 In 3.08-3.33, 1 Cd 3.20, 2 Tl 3.37
In (0.4112, 0.8175, 0.4122)  3 In 3.08-3.33, 1 Cd 3.20, 2 Tl 3.37
In (0.4122, 0.4112, 0.8175)  3 In 3.08-3.33, 1 Cd 3.20, 2 Tl 3.37
In (0.5878, 0.5888, 0.1825)  3 In 3.08-3.33, 1 Cd 3.20, 2 Tl 3.37
In (0.5888, 0.1825, 0.5878)  3 In 3.08-3.33, 1 Cd 3.20, 2 Tl 3.37
In (0.8175, 0.4122, 0.4112)  3 In 3.08-3.33, 1 Cd 3.20, 2 Tl 3.37